Computed, not measured: a relaxed structure of SmHfRu at the PBE level of DFT.

The structure belongs to space group P2_1/m (No. 11); the cell edges are 7.069, 4.508 and 12.774 Å and the angles 90.00°, 91.17° and 90.00°. The inequivalent atoms are Sm at (0.012, 0.250, 0.210), Sm at (0.382, 0.250, 0.414), Sm at (0.488, 0.250, 0.122), Hf at (0.038, 0.750, 0.415), Hf at (0.144, 0.750, 0.043), Hf at (0.336, 0.250, 0.713), Ru at (0.192, 0.750, 0.608), Ru at (0.224, 0.250, 0.934) and Ru at (0.298, 0.750, 0.259).

The energy relative to the elements is -342.4 meV/atom.